No. 1
Tb2Ho3Er6Tl after structural relaxation, computed with PBE.

a = 6.040 Å, b = 10.473 Å, c = 11.588 Å
α = 90.00°, β = 100.12°, γ = 90.00°
Space group C2/m (No. 12)
Unique sites:
Tb 0.000 0.166 0.000 [4 per cell]
Ho 0.000 0.000 0.500 [2 per cell]
Ho 0.000 0.333 0.500 [4 per cell]
Er 0.247 0.335 0.248 [8 per cell]
Er 0.248 0.500 0.750 [4 per cell]
Tl 0.000 0.500 0.000 [2 per cell]

Computed properties:
ΔH_f (0 K): -0.20 eV/f.u.
Calculated density: 9.3 Mg/m³

---

No. 2
CeAgPb2 after structural relaxation, computed with PBE.

a = 7.554 Å, b = 7.554 Å, c = 7.554 Å
α = 90.00°, β = 90.00°, γ = 90.00°
Space group Fm-3m (No. 225)
Unique sites:
Ce 0.000 0.000 0.000 [4 per cell]
Ag 0.000 0.000 0.500 [4 per cell]
Pb 0.250 0.250 0.250 [8 per cell]

Computed properties:
ΔH_f (0 K): -0.56 eV/f.u.
Calculated density: 10.2 Mg/m³
Distance to the lowest polymorph of the same formula: 140 meV per atom

---

What did the first record say?
Tb2Ho3Er6Tl after structural relaxation, computed with PBE.

a = 6.040 Å, b = 10.473 Å, c = 11.588 Å
α = 90.00°, β = 100.12°, γ = 90.00°
Space group C2/m (No. 12)
Unique sites:
Tb 0.000 0.166 0.000 [4 per cell]
Ho 0.000 0.000 0.500 [2 per cell]
Ho 0.000 0.333 0.500 [4 per cell]
Er 0.247 0.335 0.248 [8 per cell]
Er 0.248 0.500 0.750 [4 per cell]
Tl 0.000 0.500 0.000 [2 per cell]

Computed properties:
ΔH_f (0 K): -0.20 eV/f.u.
Calculated density: 9.3 Mg/m³

---

Look up the calculated density of the first one. 9.3 Mg/m³